(1)
Sn2HPt: optimized geometry, PBE-GGA.

Values from the calculation:
- M_tot (Bohr magnetons per cell) = 0.0
- excess energy over the best structure of this formula in the dataset (eV/atom) = 0.000

Cell: 4.614 4.614 4.614 Å, 60.00 60.00 60.00°
Atoms (fractional coordinates):
Sn (0.250, 0.250, 0.250)
Sn (0.750, 0.750, 0.750)
H (0.000, 0.000, 0.000)
Pt (0.500, 0.500, 0.500)



(2)
SnH2Pt2: optimized geometry, PBE-GGA.

Values from the calculation:
- M_tot (Bohr magnetons per cell) = 0.0
- excess energy over the best structure of this formula in the dataset (eV/atom) = 0.024

Cell: 7.029 7.029 2.995 Å, 90.00 90.00 90.00°
Atoms (fractional coordinates):
Sn (0.000, 0.000, 0.000)
Sn (0.500, 0.500, 0.000)
H (0.219, 0.281, 0.500)
H (0.281, 0.781, 0.500)
H (0.719, 0.219, 0.500)
H (0.781, 0.719, 0.500)
Pt (0.135, 0.365, 0.000)
Pt (0.365, 0.865, 0.000)
Pt (0.635, 0.135, 0.000)
Pt (0.865, 0.635, 0.000)



(3)
SnH2Pt: optimized geometry, PBE-GGA.

Values from the calculation:
- M_tot (Bohr magnetons per cell) = 0.0
- excess energy over the best structure of this formula in the dataset (eV/atom) = 0.563

Cell: 4.072 4.072 4.072 Å, 60.00 60.00 60.00°
Atoms (fractional coordinates):
Sn (0.000, 0.000, 0.000)
H (0.250, 0.250, 0.250)
H (0.750, 0.750, 0.750)
Pt (0.500, 0.500, 0.500)



(4)
Sn2HPt: optimized geometry, PBE-GGA.

Values from the calculation:
- M_tot (Bohr magnetons per cell) = 0.0
- excess energy over the best structure of this formula in the dataset (eV/atom) = 0.099

Cell: 7.481 7.481 7.481 Å, 140.43 140.43 57.20°
Atoms (fractional coordinates):
Sn (0.059, 0.625, 0.934)
Sn (0.375, 0.309, 0.434)
Sn (0.691, 0.125, 0.066)
Sn (0.875, 0.941, 0.566)
H (0.000, 0.000, 0.000)
H (0.750, 0.250, 0.500)
Pt (0.250, 0.750, 0.500)
Pt (0.500, 0.500, 0.000)



(5)
SnHPt2: optimized geometry, PBE-GGA.

Values from the calculation:
- M_tot (Bohr magnetons per cell) = 0.0
- excess energy over the best structure of this formula in the dataset (eV/atom) = 0.407

Cell: 4.406 4.406 4.406 Å, 60.00 60.00 60.00°
Atoms (fractional coordinates):
Sn (0.000, 0.000, 0.000)
H (0.500, 0.500, 0.500)
Pt (0.250, 0.250, 0.250)
Pt (0.750, 0.750, 0.750)



(6)
SnH2Pt2: optimized geometry, PBE-GGA.

Values from the calculation:
- M_tot (Bohr magnetons per cell) = 0.0
- excess energy over the best structure of this formula in the dataset (eV/atom) = 0.000

Cell: 5.292 5.292 5.292 Å, 140.01 140.01 57.83°
Atoms (fractional coordinates):
Sn (0.000, 0.000, 0.000)
H (0.250, 0.750, 0.500)
H (0.750, 0.250, 0.500)
Pt (0.340, 0.340, 0.000)
Pt (0.660, 0.660, 0.000)



(7)
SnH2Pt: optimized geometry, PBE-GGA.

Values from the calculation:
- M_tot (Bohr magnetons per cell) = 0.0
- excess energy over the best structure of this formula in the dataset (eV/atom) = 0.000

Cell: 5.607 5.607 5.607 Å, 127.73 127.73 77.06°
Atoms (fractional coordinates):
Sn (0.000, 0.000, 0.000)
Sn (0.750, 0.250, 0.500)
H (0.275, 0.625, 0.150)
H (0.375, 0.525, 0.650)
H (0.475, 0.125, 0.850)
H (0.875, 0.725, 0.350)
Pt (0.250, 0.750, 0.500)
Pt (0.500, 0.500, 0.000)



(8)
SnHPt2: optimized geometry, PBE-GGA.

Values from the calculation:
- M_tot (Bohr magnetons per cell) = 0.0
- excess energy over the best structure of this formula in the dataset (eV/atom) = 0.000

Cell: 5.768 5.768 5.768 Å, 124.92 124.92 81.67°
Atoms (fractional coordinates):
Sn (0.000, 0.000, 0.000)
Sn (0.750, 0.250, 0.500)
H (0.250, 0.750, 0.500)
H (0.500, 0.500, 0.000)
Pt (0.257, 0.625, 0.132)
Pt (0.375, 0.507, 0.632)
Pt (0.493, 0.125, 0.868)
Pt (0.875, 0.743, 0.368)



(9)
Sr2SnHPt: optimized geometry, PBE-GGA.

Values from the calculation:
- M_tot (Bohr magnetons per cell) = 0.0

Cell: 5.598 5.598 3.753 Å, 90.00 90.00 90.00°
Atoms (fractional coordinates):
Sr (0.000, 0.500, 0.000)
Sr (0.500, 0.000, 0.000)
Sn (0.000, 0.000, 0.500)
H (0.500, 0.500, 0.000)
Pt (0.500, 0.500, 0.500)



(10)
Sn2TeHPt: optimized geometry, PBE-GGA.

Values from the calculation:
- M_tot (Bohr magnetons per cell) = 0.0

Cell: 5.360 5.360 3.707 Å, 90.00 90.00 90.00°
Atoms (fractional coordinates):
Sn (0.000, 0.500, 0.000)
Sn (0.500, 0.000, 0.000)
Te (0.000, 0.000, 0.500)
H (0.500, 0.500, 0.500)
Pt (0.500, 0.500, 0.000)



(11)
Y2SnHPt: optimized geometry, PBE-GGA.

Values from the calculation:
- M_tot (Bohr magnetons per cell) = 0.0

Cell: 5.021 5.021 3.887 Å, 90.00 90.00 90.00°
Atoms (fractional coordinates):
Y (0.000, 0.500, 0.000)
Y (0.500, 0.000, 0.000)
Sn (0.000, 0.000, 0.500)
H (0.500, 0.500, 0.000)
Pt (0.500, 0.500, 0.500)



(12)
SrH2Pt: optimized geometry, PBE-GGA.

Values from the calculation:
- M_tot (Bohr magnetons per cell) = 0.0
- excess energy over the best structure of this formula in the dataset (eV/atom) = 0.000

Cell: 12.864 4.307 4.777 Å, 90.00 90.00 90.00°
Atoms (fractional coordinates):
Sr (0.123, 0.250, 0.226)
Sr (0.377, 0.750, 0.726)
Sr (0.623, 0.250, 0.274)
Sr (0.877, 0.750, 0.774)
H (0.055, 0.750, 0.998)
H (0.206, 0.750, 0.431)
H (0.294, 0.250, 0.931)
H (0.445, 0.250, 0.498)
H (0.555, 0.750, 0.502)
H (0.706, 0.750, 0.069)
H (0.794, 0.250, 0.569)
H (0.945, 0.250, 0.002)
Pt (0.129, 0.750, 0.712)
Pt (0.371, 0.250, 0.212)
Pt (0.629, 0.750, 0.788)
Pt (0.871, 0.250, 0.288)



(13)
Sr2H5Pt2: optimized geometry, PBE-GGA.

Values from the calculation:
- M_tot (Bohr magnetons per cell) = 0.0

Cell: 3.871 5.103 6.522 Å, 88.98 72.80 89.95°
Atoms (fractional coordinates):
Sr (0.129, 0.238, 0.241)
Sr (0.871, 0.762, 0.759)
H (0.087, 0.737, 0.325)
H (0.311, 0.468, 0.882)
H (0.500, 0.000, 0.500)
H (0.689, 0.532, 0.118)
H (0.913, 0.263, 0.675)
Pt (0.411, 0.264, 0.679)
Pt (0.589, 0.736, 0.321)



(14)
Sr2HPt: optimized geometry, PBE-GGA.

Values from the calculation:
- M_tot (Bohr magnetons per cell) = 0.0
- excess energy over the best structure of this formula in the dataset (eV/atom) = 0.000

Cell: 7.139 7.139 7.139 Å, 34.43 34.43 34.43°
Atoms (fractional coordinates):
Sr (0.248, 0.248, 0.248)
Sr (0.752, 0.752, 0.752)
H (0.500, 0.500, 0.500)
Pt (0.000, 0.000, 0.000)



(15)
Sr2HPt: optimized geometry, PBE-GGA.

Values from the calculation:
- M_tot (Bohr magnetons per cell) = 0.0
- excess energy over the best structure of this formula in the dataset (eV/atom) = 0.090

Cell: 6.399 6.399 6.399 Å, 111.59 111.59 105.31°
Atoms (fractional coordinates):
Sr (0.066, 0.625, 0.941)
Sr (0.375, 0.316, 0.441)
Sr (0.684, 0.125, 0.059)
Sr (0.875, 0.934, 0.559)
H (0.000, 0.000, 0.000)
H (0.750, 0.250, 0.500)
Pt (0.250, 0.750, 0.500)
Pt (0.500, 0.500, 0.000)



(16)
Sr3HPt: optimized geometry, PBE-GGA.

Values from the calculation:
- M_tot (Bohr magnetons per cell) = 0.0
- excess energy over the best structure of this formula in the dataset (eV/atom) = 0.000

Cell: 8.168 4.093 9.038 Å, 90.00 100.05 90.00°
Atoms (fractional coordinates):
Sr (0.081, 0.250, 0.330)
Sr (0.279, 0.250, 0.990)
Sr (0.388, 0.750, 0.629)
Sr (0.612, 0.250, 0.371)
Sr (0.721, 0.750, 0.010)
Sr (0.919, 0.750, 0.670)
H (0.128, 0.250, 0.618)
H (0.872, 0.750, 0.382)
Pt (0.342, 0.750, 0.258)
Pt (0.658, 0.250, 0.742)



(17)
Sr6H2Pt: optimized geometry, PBE-GGA.

Values from the calculation:
- M_tot (Bohr magnetons per cell) = 0.0

Cell: 7.273 6.812 14.337 Å, 90.00 120.42 90.00°
Atoms (fractional coordinates):
Sr (0.001, 0.250, 0.330)
Sr (0.001, 0.250, 0.830)
Sr (0.341, 0.249, 0.170)
Sr (0.341, 0.251, 0.670)
Sr (0.348, 0.727, 0.500)
Sr (0.348, 0.773, 0.000)
Sr (0.652, 0.227, 0.000)
Sr (0.652, 0.273, 0.500)
Sr (0.659, 0.749, 0.330)
Sr (0.659, 0.751, 0.830)
Sr (0.999, 0.750, 0.170)
Sr (0.999, 0.750, 0.670)
H (0.330, 0.000, 0.830)
H (0.330, 0.500, 0.330)
H (0.670, 0.000, 0.170)
H (0.670, 0.500, 0.670)
Pt (0.000, 0.000, 0.000)
Pt (0.000, 0.500, 0.500)



(18)
Sr6HPt: optimized geometry, PBE-GGA.

Values from the calculation:
- M_tot (Bohr magnetons per cell) = 0.0

Cell: 7.309 7.316 8.106 Å, 63.18 63.25 60.06°
Atoms (fractional coordinates):
Sr (0.092, 0.403, 0.251)
Sr (0.245, 0.909, 0.749)
Sr (0.405, 0.754, 0.251)
Sr (0.595, 0.246, 0.749)
Sr (0.755, 0.091, 0.251)
Sr (0.908, 0.597, 0.749)
H (0.000, 0.000, 0.500)
Pt (0.500, 0.500, 0.000)



(19)
SrH2Pt: optimized geometry, PBE-GGA.

Values from the calculation:
- M_tot (Bohr magnetons per cell) = 0.0
- excess energy over the best structure of this formula in the dataset (eV/atom) = 0.146

Cell: 6.363 6.363 6.363 Å, 137.47 137.47 61.72°
Atoms (fractional coordinates):
Sr (0.000, 0.000, 0.000)
Sr (0.750, 0.250, 0.500)
H (0.336, 0.625, 0.211)
H (0.375, 0.586, 0.711)
H (0.414, 0.125, 0.789)
H (0.875, 0.664, 0.289)
Pt (0.250, 0.750, 0.500)
Pt (0.500, 0.500, 0.000)



(20)
SrH3Pt3: optimized geometry, PBE-GGA.

Values from the calculation:
- M_tot (Bohr magnetons per cell) = 0.0

Cell: 6.462 6.462 4.771 Å, 90.00 90.00 120.00°
Atoms (fractional coordinates):
Sr (0.333, 0.667, 0.250)
Sr (0.667, 0.333, 0.750)
H (0.117, 0.558, 0.750)
H (0.442, 0.558, 0.750)
H (0.442, 0.883, 0.750)
H (0.558, 0.117, 0.250)
H (0.558, 0.442, 0.250)
H (0.883, 0.442, 0.250)
Pt (0.143, 0.287, 0.750)
Pt (0.143, 0.857, 0.750)
Pt (0.287, 0.143, 0.250)
Pt (0.713, 0.857, 0.750)
Pt (0.857, 0.143, 0.250)
Pt (0.857, 0.713, 0.250)



(21)
SrH2Pt: optimized geometry, PBE-GGA.

Values from the calculation:
- M_tot (Bohr magnetons per cell) = 0.0
- excess energy over the best structure of this formula in the dataset (eV/atom) = 0.002

Cell: 4.588 4.588 7.646 Å, 108.65 108.65 61.87°
Atoms (fractional coordinates):
Sr (0.243, 0.757, 0.750)
Sr (0.757, 0.243, 0.250)
H (0.151, 0.218, 0.588)
H (0.218, 0.151, 0.088)
H (0.782, 0.849, 0.912)
H (0.849, 0.782, 0.412)
Pt (0.000, 0.500, 0.000)
Pt (0.500, 0.000, 0.500)



(22)
SrH2Pt2: optimized geometry, PBE-GGA.

Values from the calculation:
- M_tot (Bohr magnetons per cell) = 0.0
- excess energy over the best structure of this formula in the dataset (eV/atom) = 0.000

Cell: 5.890 5.890 5.890 Å, 141.69 141.69 55.29°
Atoms (fractional coordinates):
Sr (0.000, 0.000, 0.000)
H (0.250, 0.750, 0.500)
H (0.750, 0.250, 0.500)
Pt (0.281, 0.281, 0.000)
Pt (0.719, 0.719, 0.000)



(23)
Sr2H8Pt: optimized geometry, PBE-GGA.

Values from the calculation:
- M_tot (Bohr magnetons per cell) = 0.0

Cell: 7.431 7.431 4.506 Å, 107.07 107.07 33.14°
Atoms (fractional coordinates):
Sr (0.156, 0.156, 0.155)
Sr (0.844, 0.844, 0.845)
H (0.002, 0.002, 0.596)
H (0.240, 0.240, 0.738)
H (0.401, 0.401, 0.185)
H (0.420, 0.420, 0.699)
H (0.580, 0.580, 0.301)
H (0.599, 0.599, 0.815)
H (0.760, 0.760, 0.262)
H (0.998, 0.998, 0.404)
Pt (0.500, 0.500, 0.500)



(24)
Sr3HPt: optimized geometry, PBE-GGA.

Values from the calculation:
- M_tot (Bohr magnetons per cell) = 0.0
- excess energy over the best structure of this formula in the dataset (eV/atom) = 0.200

Cell: 5.088 5.088 5.088 Å, 90.00 90.00 90.00°
Atoms (fractional coordinates):
Sr (0.000, 0.000, 0.500)
Sr (0.000, 0.500, 0.000)
Sr (0.500, 0.000, 0.000)
H (0.000, 0.000, 0.000)
Pt (0.500, 0.500, 0.500)



(25)
SrH2Pt: optimized geometry, PBE-GGA.

Values from the calculation:
- M_tot (Bohr magnetons per cell) = 0.0
- excess energy over the best structure of this formula in the dataset (eV/atom) = 0.680

Cell: 4.299 4.299 4.299 Å, 60.00 60.00 60.00°
Atoms (fractional coordinates):
Sr (0.000, 0.000, 0.000)
H (0.250, 0.250, 0.250)
H (0.750, 0.750, 0.750)
Pt (0.500, 0.500, 0.500)



Uncorrected energy list, top to bottom, in hartree per atom: -0.1586 -0.1656 -0.1294 -0.1550 -0.1689 -0.1664 -0.1500 -0.1838 -0.1450 -0.1575 -0.2202 -0.1548 -0.1515 -0.1366 -0.1333 -0.1247 -0.1065 -0.1022 -0.1494 -0.1717 -0.1548 -0.1623 -0.1320 -0.1173 -0.1298